(1)
A relaxed InTePtAuS2 crystal. Source: OQMD, functional PBE-GGA.

Cell lengths 7.267, 7.267, 11.003 Å; angles 90.00, 90.00, 151.52 degrees
Fractional coordinates of all 12 atoms:
Au 0.349 0.651 0.250
Au 0.651 0.349 0.750
In 0.697 0.303 0.250
In 0.303 0.697 0.750
Pt 0.000 0.000 0.000
Pt 0.000 0.000 0.500
S 0.387 0.613 0.015
S 0.387 0.613 0.485
S 0.613 0.387 0.515
S 0.613 0.387 0.985
Te 0.018 0.982 0.250
Te 0.982 0.018 0.750

VASP energy   -49.3 eV per cell
Crystal system   orthorhombic

(2)
A relaxed Sm3In3NiIr2 crystal. Source: OQMD, functional PBE-GGA.

Cell lengths 7.584, 7.584, 3.964 Å; angles 90.00, 90.00, 120.00 degrees
Fractional coordinates of all 9 atoms:
In 0.755 0.000 0.500
In 0.245 0.245 0.500
In 0.000 0.755 0.500
Ir 0.667 0.333 0.500
Ir 0.333 0.667 0.500
Ni 0.000 0.000 0.000
Sm 0.413 0.000 0.000
Sm 0.000 0.413 0.000
Sm 0.587 0.587 0.000

VASP energy   -51.3 eV per cell
Crystal system   hexagonal

(3)
A relaxed Sr2CoSb crystal. Source: OQMD, functional PBE-GGA.

Cell lengths 5.188, 5.188, 5.188 Å; angles 60.00, 60.00, 60.00 degrees
Fractional coordinates of all 4 atoms:
Co 0.250 0.250 0.250
Sb 0.500 0.500 0.500
Sr 0.000 0.000 0.000
Sr 0.750 0.750 0.750

VASP energy   -14.2 eV per cell
Crystal system   cubic